1.
The following is a DFT calculation (PBE-GGA) of a relaxed Mg4ScAg5 crystal.

The energy relative to the elements comes out at -0.2502 eV/atom. For the calculated volume, the calculation gives 18.884 Å³/atom.

The structure belongs to space group P4/mmm (No. 123); the cell edges are 3.374, 3.374 and 16.584 Å and the angles 90.00°, 90.00° and 90.00°. Symmetry generates all atoms from Mg at (0.000, 0.000, 0.098), Mg at (0.000, 0.000, 0.296), Sc at (0.000, 0.000, 0.500), Ag at (0.500, 0.500, 0.000), Ag at (0.500, 0.500, 0.196) and Ag at (0.500, 0.500, 0.395).

=====

2.
The following is a DFT calculation (PBE-GGA) of a relaxed AlCd4Cu crystal.

The energy relative to the elements comes out at 0.3475 eV/atom. For the calculated volume, the calculation gives 21.660 Å³/atom.

The structure belongs to space group F-43m (No. 216); the cell edges are 8.041, 8.041 and 8.041 Å and the angles 90.00°, 90.00° and 90.00°. Symmetry generates all atoms from Al at (0.000, 0.000, 0.000), Cd at (0.125, 0.125, 0.625) and Cu at (0.250, 0.250, 0.250).